Record 1
Material: NaAlInTe2
Method: DFT, GGA-PBE
State: optimized geometry

abc: 5.8323 5.4720 5.8323
angles: 90.00 90.00 90.00
Sites, in units of the cell vectors:
1 Al 0.5000 0.5000 0.5000
2 Na 0.0000 0.5000 0.0000
3 Te 0.5000 0.0000 0.0000
4 In 0.0000 0.0000 0.0000
5 Te 0.0000 0.0000 0.5000

## Properties
* size of the total moment: 0.000 μB per atom
* space group: P4/mmm
* Fermi-level density of states: 3.25 states/eV per cell
* E: -2.50 eV per atom
* formation energy (no corrections): 0.3153 eV/atom
* calculated volume: 37.2 Å³ per atom

=====

Record 2
Material: Pr5Ho3S8
Method: DFT, GGA-PBE
State: optimized geometry

abc: 7.9967 7.9967 8.1098
angles: 60.46 60.46 60.00
Sites, in units of the cell vectors:
1 S 0.7649 0.2503 0.7346
2 S 0.2503 0.7649 0.7346
3 Ho 0.0000 0.0000 0.5000
4 S 0.7573 0.7573 0.7282
5 Pr 0.0000 0.5000 0.0000
6 S 0.2351 0.7497 0.2654
7 Pr 0.0000 0.0000 0.0000
8 Pr 0.5000 0.0000 0.0000
9 S 0.2427 0.2427 0.2718
10 Pr 0.5000 0.5000 0.0000
11 S 0.7497 0.7497 0.2654
12 Pr 0.5000 0.5000 0.5000
13 S 0.7497 0.2351 0.2654
14 S 0.2503 0.2503 0.7346
15 Ho 0.0000 0.5000 0.5000
16 Ho 0.5000 0.0000 0.5000

## Properties
* size of the total moment: 0.000 μB per atom
* space group: R-3m
* Fermi-level density of states: 7.25 states/eV per cell
* E: -6.42 eV per atom
* formation energy (no corrections): -1.9995 eV/atom
* calculated volume: 23.1 Å³ per atom

=====

- What is the E in the second record?
  -6.42 eV per atom